1.
CoIrW2, optimized geometry, DFT GGA-PBEsol; SG = No. 123; formation energy from the elements = -0.13 eV per atom
1.0
-2.900 0.165 -2.451
-0.327 -3.784 0.132
-2.448 0.313 2.918
W Ir Co
2 1 1
direct
0.000 0.500 0.000 W
0.500 0.000 0.000 W
0.000 0.000 0.500 Ir
0.500 0.500 0.500 Co

2.
Y2CoIr, optimized geometry, DFT GGA-PBEsol; SG = No. 99; formation energy from the elements = -0.04 eV per atom
1.0
3.299 0.000 0.000
0.000 3.299 0.000
0.000 0.000 7.646
Co Y Ir
1 2 1
direct
0.000 0.000 0.572 Co
0.000 0.000 0.929 Y
0.500 0.500 0.319 Y
0.500 0.500 0.680 Ir

3.
YCo2Ir, optimized geometry, DFT GGA-PBEsol; SG = No. 99; formation energy from the elements = 0.02 eV per atom
1.0
3.026 0.000 0.000
0.000 3.026 0.000
0.000 0.000 6.546
Co Ir Y
2 1 1
direct
0.000 0.000 0.066 Co
0.500 0.500 0.226 Co
0.000 0.000 0.455 Ir
0.500 0.500 0.753 Y

4.
ZnCoIr, optimized geometry, DFT GGA-PBEsol; SG = No. 107; formation energy from the elements = -0.04 eV per atom
1.0
-1.452 -2.222 -0.308
-0.201 -0.237 2.654
-3.588 4.125 -1.249
Co Ir Zn
1 1 1
direct
0.003 0.003 0.007 Co
0.658 0.658 0.315 Ir
0.339 0.339 0.678 Zn